Record 1
This record from Alexandria describes an optimized crystal structure of Dy3Hg2Pb. The functional is GGA-PBE.

The structure in CIF format:
```
data_Dy3Hg2Pb
_symmetry_space_group_name_H-M 'P 1'
_symmetry_Int_Tables_number 1
_symmetry_space_group_name_Hall 'P 1'
_cell_length_a 3.717
_cell_length_b 3.717
_cell_length_c 11.549
_cell_angle_alpha 90.00
_cell_angle_beta 90.00
_cell_angle_gamma 90.00
loop_
_atom_site_label
_atom_site_fract_x
_atom_site_fract_y
_atom_site_fract_z
Dy1 0.000 0.000 0.000
Dy2 0.000 0.000 0.320
Dy3 0.000 0.000 0.680
Hg1 0.500 0.500 0.156
Hg2 0.500 0.500 0.844
Pb1 0.500 0.500 0.500
```

**Space-group type**: No. 123
**Total DFT energy (no corrections)**: -3.49 eV per atom
**Size of the total moment**: 0.0 μB per formula unit
**Density of states at the Fermi level**: 5.3 states/eV/f.u.
**Theoretical density**: 11.405 g/cm3

---

Record 2
This record from Alexandria describes an optimized crystal structure of DyHgPb. The functional is GGA-PBE.

The structure in CIF format:
```
data_DyHgPb
_symmetry_space_group_name_H-M 'P 1'
_symmetry_Int_Tables_number 1
_symmetry_space_group_name_Hall 'P 1'
_cell_length_a 5.012
_cell_length_b 5.012
_cell_length_c 5.012
_cell_angle_alpha 60.00
_cell_angle_beta 60.00
_cell_angle_gamma 60.00
loop_
_atom_site_label
_atom_site_fract_x
_atom_site_fract_y
_atom_site_fract_z
Dy1 0.000 0.000 0.000
Hg1 0.750 0.750 0.750
Pb1 0.500 0.500 0.500
```

**Space-group type**: No. 216
**Total DFT energy (no corrections)**: -3.09 eV per atom
**Size of the total moment**: 0.0 μB per formula unit
**Density of states at the Fermi level**: 2.7 states/eV/f.u.
**Theoretical density**: 10.640 g/cm3

---

Record 3
This record from Alexandria describes an optimized crystal structure of Dy2Hg3Pb. The functional is GGA-PBE.

The structure in CIF format:
```
data_Dy2Hg3Pb
_symmetry_space_group_name_H-M 'P 1'
_symmetry_Int_Tables_number 1
_symmetry_space_group_name_Hall 'P 1'
_cell_length_a 9.790
_cell_length_b 9.790
_cell_length_c 7.491
_cell_angle_alpha 90.00
_cell_angle_beta 90.00
_cell_angle_gamma 120.00
loop_
_atom_site_label
_atom_site_fract_x
_atom_site_fract_y
_atom_site_fract_z
Dy1 0.000 0.000 0.250
Dy2 0.000 0.000 0.750
Dy3 0.010 0.505 0.250
Dy4 0.495 0.505 0.250
Dy5 0.495 0.990 0.250
Dy6 0.505 0.010 0.750
Dy7 0.505 0.495 0.750
Dy8 0.990 0.495 0.750
Hg1 0.163 0.326 0.050
Hg2 0.163 0.326 0.450
Hg3 0.163 0.837 0.050
Hg4 0.163 0.837 0.450
Hg5 0.326 0.163 0.550
Hg6 0.326 0.163 0.950
Hg7 0.674 0.837 0.050
Hg8 0.674 0.837 0.450
Hg9 0.837 0.163 0.550
Hg10 0.837 0.163 0.950
Hg11 0.837 0.674 0.550
Hg12 0.837 0.674 0.950
Pb1 0.333 0.667 0.534
Pb2 0.333 0.667 0.966
Pb3 0.667 0.333 0.034
Pb4 0.667 0.333 0.466
```

**Energy above the most stable polymorph in this dataset**: 0 meV/atom
**Space-group type**: No. 194
**Total DFT energy (no corrections)**: -2.66 eV per atom
**Size of the total moment**: 0.0 μB per formula unit
**Density of states at the Fermi level**: 2.0 states/eV/f.u.
**Theoretical density**: 12.113 g/cm3

---

Record 4
This record from Alexandria describes an optimized crystal structure of Dy6HgPb5. The functional is GGA-PBE.

The structure in CIF format:
```
data_Dy6HgPb5
_symmetry_space_group_name_H-M 'P 1'
_symmetry_Int_Tables_number 1
_symmetry_space_group_name_Hall 'P 1'
_cell_length_a 8.006
_cell_length_b 8.006
_cell_length_c 8.660
_cell_angle_alpha 90.00
_cell_angle_beta 90.00
_cell_angle_gamma 143.16
loop_
_atom_site_label
_atom_site_fract_x
_atom_site_fract_y
_atom_site_fract_z
Dy1 0.000 0.000 0.244
Dy2 0.000 0.000 0.756
Dy3 0.334 0.666 0.244
Dy4 0.334 0.666 0.756
Dy5 0.666 0.334 0.244
Dy6 0.666 0.334 0.756
Hg1 0.500 0.500 0.000
Pb1 0.164 0.836 0.000
Pb2 0.167 0.833 0.500
Pb3 0.500 0.500 0.500
Pb4 0.833 0.167 0.500
Pb5 0.836 0.164 0.000
```

**Space-group type**: No. 65
**Total DFT energy (no corrections)**: -4.31 eV per atom
**Size of the total moment**: 0.0 μB per formula unit
**Density of states at the Fermi level**: 8.9 states/eV/f.u.
**Theoretical density**: 11.036 g/cm3